# 1
# P3Rh, PBEsol geometry, DFT meta-GGA SCAN
data_P3Rh
_chemical_formula_sum 'P6 Rh2'
_space_group_name_H-M_alt 'I m m m'
_space_group_IT_number 71
_space_group_name_Hall '-I 2 2'
_cell_length_a 3.258
_cell_length_b 3.646
_cell_length_c 10.248
_cell_angle_alpha 90.00
_cell_angle_beta 90.00
_cell_angle_gamma 90.00
loop_
_atom_site_label
_atom_site_fract_x
_atom_site_fract_y
_atom_site_fract_z
P1 0.000 0.000 0.000
P2 0.000 0.500 0.336
Rh1 0.000 0.000 0.500
# calculated density = 5.343 g/cm3
# formation enthalpy at 0 K = 0.1065 eV/atom
# ΔE to the lowest computed polymorph = 0.794 eV per atom
# magnetic moment = 0.000 μB/cell

---

# 2
# P3Rh, PBEsol geometry, DFT meta-GGA SCAN
data_P3Rh
_chemical_formula_sum 'P24 Rh8'
_space_group_name_H-M_alt 'I m -3'
_space_group_IT_number 204
_space_group_name_Hall '-I 2 2 3'
_cell_length_a 7.973
_cell_length_b 7.973
_cell_length_c 7.973
_cell_angle_alpha 90.00
_cell_angle_beta 90.00
_cell_angle_gamma 90.00
loop_
_atom_site_label
_atom_site_fract_x
_atom_site_fract_y
_atom_site_fract_z
P1 0.000 0.355 0.141
Rh1 0.250 0.250 0.250
# calculated density = 5.132 g/cm3
# formation enthalpy at 0 K = -0.6872 eV/atom
# ΔE to the lowest computed polymorph = 0.000 eV per atom
# magnetic moment = 0.000 μB/cell

---

# 3
# P2RuRh, PBEsol geometry, DFT meta-GGA SCAN
data_P2RuRh
_chemical_formula_sum 'P2 Ru1 Rh1'
_space_group_name_H-M_alt 'P m m 2'
_space_group_IT_number 25
_cell_length_a 2.929
_cell_length_b 4.449
_cell_length_c 3.964
_cell_angle_alpha 90.00
_cell_angle_beta 90.00
_cell_angle_gamma 90.00
loop_
_space_group_symop_operation_xyz
'x,y,z'
'-x,-y,z'
'-x,y,z'
'x,-y,z'
loop_
_atom_site_label
_atom_site_fract_x
_atom_site_fract_y
_atom_site_fract_z
P1 0.000 0.000 0.000
P2 0.500 0.500 0.264
Ru1 0.500 0.000 0.478
Rh1 0.000 0.500 0.785
# calculated density = 8.549 g/cm3
# formation enthalpy at 0 K = -0.4666 eV/atom
# ΔE to the lowest computed polymorph = 0.000 eV per atom
# magnetic moment = 0.000 μB/cell

---

# 4
# P2RuRh, PBEsol geometry, DFT meta-GGA SCAN
data_P2RuRh
_chemical_formula_sum 'P4 Ru2 Rh2'
_space_group_name_H-M_alt 'I 4/m m m'
_space_group_IT_number 139
_space_group_name_Hall '-I 4 2'
_cell_length_a 4.037
_cell_length_b 4.037
_cell_length_c 6.207
_cell_angle_alpha 90.00
_cell_angle_beta 90.00
_cell_angle_gamma 90.00
loop_
_atom_site_label
_atom_site_fract_x
_atom_site_fract_y
_atom_site_fract_z
P1 0.000 0.500 0.250
Ru1 0.000 0.000 0.000
Rh1 0.000 0.000 0.500
# calculated density = 8.728 g/cm3
# formation enthalpy at 0 K = -0.1008 eV/atom
# ΔE to the lowest computed polymorph = 0.366 eV per atom
# magnetic moment = 0.000 μB/cell